{
  "formula": "CoNiPtO4",
  "functional": "GGA+U",
  "state": "relaxed",
  "total_magnetization_mub_per_fu": 3.00,
  "crystal_system": "orthorhombic",
  "vol_a3_per_atom": 11.1,
  "dft_energy_ev_per_atom": -5.492,
  "lattice_angstrom": [[-2.871, 3.146, 4.315], [2.871, -3.146, 4.315], [2.871, 3.146, -4.315]],
  "species": ["Co", "Co", "Ni", "Ni", "Pt", "Pt", "O", "O", "O", "O", "O", "O", "O", "O"],
  "frac_coords": [[0.500, 0.000, 0.000], [0.500, 0.500, 0.500], [0.076, 0.326, 0.750], [0.924, 0.674, 0.250], [0.000, 0.000, 0.000], [0.500, 0.000, 0.500], [0.223, 0.200, 0.478], [0.223, 0.745, 0.022], [0.279, 0.236, 0.044], [0.308, 0.764, 0.544], [0.692, 0.236, 0.456], [0.721, 0.764, 0.956], [0.777, 0.255, 0.978], [0.777, 0.800, 0.522]]
}